No. 1
# CaLa3Ru

A relaxed structure of CaLa3Ru (GGA-PBE, Alexandria via LeMat-Bulk).

```
CaLa3Ru
1.0
6.9053 -3.9517 0.0000
6.9053 3.9517 0.0000
-2.1608 0.0000 6.5485
Ca La Ru
2 6 2
Direct
0.0000 0.0000 0.0000 Ca
0.5000 0.5000 0.0000 Ca
0.0000 0.5000 0.0000 La
0.2452 0.7548 0.5000 La
0.2550 0.2550 0.5010 La
0.5000 0.0000 0.0000 La
0.7450 0.7450 0.4990 La
0.7548 0.2452 0.5000 La
0.1433 0.1433 0.7440 Ru
0.8567 0.8567 0.2560 Ru
```

Output
Its energy relative to the lowest polymorph listed for this composition is 13.9 meV per atom. Its formation energy is -0.16 eV/atom.


No. 2
# LaFeTe2

A relaxed structure of LaFeTe2 (GGA-PBE, Alexandria via LeMat-Bulk).

```
LaFeTe2
1.0
6.7356 -2.0634 0.0000
6.7356 2.0634 0.0000
-0.0023 0.0000 4.1529
La Fe Te
1 1 2
Direct
0.0000 0.0000 0.0000 La
0.2041 0.2041 0.5013 Fe
0.4037 0.4037 0.4998 Te
0.6843 0.6843 0.9998 Te
```

Output
The calculation puts the uncorrected formation energy at -0.622 eV per atom.


No. 3
# TaCuSi

A relaxed structure of TaCuSi (GGA-PBE, Alexandria via LeMat-Bulk).

```
TaCuSi
1.0
4.9115 -1.4086 0.0000
4.9115 1.4086 0.0000
-3.0571 0.0000 6.2849
Ta Cu Si
2 2 2
Direct
0.0854 0.0854 0.3454 Ta
0.9146 0.9146 0.6546 Ta
0.3668 0.3668 0.9769 Cu
0.6332 0.6332 0.0231 Cu
0.3374 0.3374 0.2975 Si
0.6626 0.6626 0.7025 Si
```

Output
The calculation puts the uncorrected formation energy at -0.217 eV per atom.


No. 4
# Pr7Dy4Ho

A relaxed structure of Pr7Dy4Ho (GGA-PBE, Alexandria via LeMat-Bulk).

```
Pr7Dy4Ho
1.0
6.3744 0.0000 0.0000
-0.0012 7.3333 0.0000
-2.1209 -0.0098 8.8099
Pr Dy Ho
7 4 1
Direct
0.0000 0.0000 0.0000 Pr
0.2209 0.5002 0.6660 Pr
0.2808 0.7505 0.3346 Pr
0.4994 0.2476 0.0021 Pr
0.5006 0.7524 0.9979 Pr
0.7192 0.2495 0.6654 Pr
0.7791 0.4998 0.3340 Pr
0.2194 0.0000 0.6647 Dy
0.2773 0.2472 0.3319 Dy
0.7227 0.7528 0.6681 Dy
0.7806 0.0000 0.3353 Dy
0.0000 0.5000 0.0000 Ho
```

Output
Its energy relative to the lowest polymorph listed for this composition is 0.0 meV per atom. Its formation energy is 0.01 eV/atom.


No. 5
# CaAsBr

A relaxed structure of CaAsBr (GGA-PBE, Alexandria via LeMat-Bulk).

```
CaAsBr
1.0
0.0000 3.5994 3.5994
3.5994 0.0000 3.5994
3.5994 3.5994 0.0000
Ca As Br
1 1 1
Direct
0.0000 0.0000 0.0000 Ca
0.7500 0.7500 0.7500 As
0.2500 0.2500 0.2500 Br
```

Output
Its energy relative to the lowest polymorph listed for this composition is 711.6 meV per atom. The calculation puts the uncorrected formation energy at -0.575 eV per atom.


No. 6
# NiHgAu

A relaxed structure of NiHgAu (GGA-PBE, Alexandria via LeMat-Bulk).

```
NiHgAu
1.0
0.0000 3.0562 3.0562
3.0562 0.0000 3.0562
3.0562 3.0562 0.0000
Ni Hg Au
1 1 1
Direct
0.0000 0.0000 0.0000 Ni
0.7500 0.7500 0.7500 Hg
0.2500 0.2500 0.2500 Au
```

Output
Its energy relative to the lowest polymorph listed for this composition is 82.3 meV per atom. Its formation energy is 0.22 eV/atom.


The records above give, respectively, uncorrected energy values of -5.37; -5.54; -7.34; -4.69; -3.35; -2.90 eV/atom.